# 1
GGA-PBE Tm4CdBi, optimized geometry; calculated total energy = -98.7 eV per cell; DOS at the Fermi energy = 4.6 states/eV/f.u.; energy of formation from the pure elements = -0.3318 eV per atom; SG = F-43m (216); magnetic moment = 0.0 μB per formula unit
1.0
-9.134 0.114 3.802
-7.532 -3.890 -5.103
-4.201 -8.428 3.034
Tm Cd Bi
16 4 4
direct
0.376 0.376 0.376
0.872 0.376 0.376
0.376 0.872 0.376
0.376 0.376 0.872
0.561 0.561 0.939
0.939 0.939 0.561
0.561 0.939 0.561
0.939 0.561 0.939
0.939 0.561 0.561
0.561 0.939 0.939
0.183 0.183 0.817
0.817 0.817 0.183
0.183 0.817 0.183
0.817 0.183 0.817
0.817 0.183 0.183
0.183 0.817 0.817
0.160 0.160 0.160
0.519 0.160 0.160
0.160 0.519 0.160
0.160 0.160 0.519
0.598 0.598 0.598
0.207 0.598 0.598
0.598 0.207 0.598
0.598 0.598 0.207

# 2
GGA-PBE TmCdBi2, optimized geometry; calculated total energy = -14.0 eV per cell; DOS at the Fermi energy = 2.3 states/eV/f.u.; energy of formation from the pure elements = -0.2121 eV per atom; SG = R3m (160); magnetic moment = 0.0 μB per formula unit
1.0
4.624 0.000 0.000
2.312 4.005 0.000
2.312 1.335 6.817
Tm Cd Bi
1 1 2
direct
0.667 0.667 0.999
0.499 0.499 0.502
0.081 0.081 0.757
0.253 0.253 0.241

# 3
GGA-PBE TmCdBi2, optimized geometry; calculated total energy = -13.8 eV per cell; DOS at the Fermi energy = 2.6 states/eV/f.u.; energy of formation from the pure elements = -0.1750 eV per atom; SG = R-3m (166); magnetic moment = 0.0 μB per formula unit
1.0
4.526 0.000 0.000
2.263 3.919 0.000
2.263 1.306 7.009
Tm Bi Cd
1 2 1
direct
0.500 0.500 0.500
0.251 0.251 0.248
0.749 0.749 0.752
0.000 0.000 0.000

# 4
GGA-PBE UCdBi, optimized geometry; calculated total energy = -31.6 eV per cell; DOS at the Fermi energy = 4.1 states/eV/f.u.; energy of formation from the pure elements = 0.1008 eV per atom; SG = P2_1/m (11); magnetic moment = 0.0 μB per formula unit
1.0
-1.407 -2.039 2.732
4.520 0.665 2.824
-5.163 6.223 1.986
U Cd Bi
2 2 2
direct
0.250 0.049 0.106
0.750 0.951 0.894
0.250 0.773 0.536
0.750 0.227 0.464
0.250 0.416 0.821
0.750 0.584 0.179